Record 1
Material: Dy2HoTl9
Method: DFT, GGA-PBE
State: optimized geometry

Values from the calculation:
energy relative to the elements	-0.23	eV per atom
N(E_F)	2.697	states/eV/cell
SG	P4/mmm, No. 123
volume	27.0	Å³/atom
uncorrected energy	-37.8	eV per formula unit

POSCAR file:
```
Dy2HoTl9
1.0
4.7639 0.0000 0.0000
0.0000 4.7639 0.0000
0.0000 0.0000 14.2880
Dy Ho Tl
2 1 9
Direct
0.0000 0.0000 0.1667
0.0000 0.0000 0.8333
0.0000 0.0000 0.5000
0.0000 0.5000 0.0000
0.0000 0.5000 0.3336
0.0000 0.5000 0.6664
0.5000 0.0000 0.0000
0.5000 0.0000 0.3336
0.5000 0.0000 0.6664
0.5000 0.5000 0.1668
0.5000 0.5000 0.5000
0.5000 0.5000 0.8332
```


Record 2
Material: Dy3Ho7Tl
Method: DFT, GGA-PBE
State: optimized geometry

Values from the calculation:
energy relative to the elements	0.15	eV per atom
N(E_F)	15.672	states/eV/cell
SG	P3m1, No. 156
volume	32.1	Å³/atom
uncorrected energy	-46.6	eV per formula unit

POSCAR file:
```
Dy3Ho7Tl
1.0
6.9315 0.0000 0.0000
-3.4658 6.0029 0.0000
0.0000 0.0000 8.4754
Dy Ho Tl
3 7 1
Direct
0.1680 0.3359 0.0000
0.1680 0.8320 0.0000
0.6641 0.8320 0.0000
0.0063 0.5032 0.3381
0.3311 0.1656 0.6619
0.3333 0.6667 0.6726
0.4968 0.5032 0.3381
0.4968 0.9937 0.3381
0.8344 0.1656 0.6619
0.8344 0.6689 0.6619
0.0000 0.0000 0.3359
```


Record 3
Material: Dy4Ho2Tl
Method: DFT, GGA-PBE
State: optimized geometry

Values from the calculation:
energy relative to the elements	0.00	eV per atom
N(E_F)	21.092	states/eV/cell
SG	P2_1/m, No. 11
volume	30.7	Å³/atom
uncorrected energy	-29.9	eV per formula unit

POSCAR file:
```
Dy4Ho2Tl
1.0
5.6269 0.0000 0.0000
0.0000 6.7456 0.0000
-2.5854 0.0000 11.3233
Dy Ho Tl
8 4 2
Direct
0.1125 0.2500 0.1431
0.2249 0.7500 0.4136
0.3359 0.5102 0.7068
0.3359 0.9898 0.7068
0.6641 0.0102 0.2932
0.6641 0.4898 0.2932
0.7751 0.2500 0.5864
0.8875 0.7500 0.8569
0.2114 0.2500 0.4375
0.4555 0.7500 0.0212
0.5445 0.2500 0.9788
0.7886 0.7500 0.5625
0.0152 0.7500 0.1418
0.9848 0.2500 0.8582
```